1.
Below is a crystal of TlSeI3 relaxed with PBEsol, with properties calculated at the meta-GGA SCAN level.

a b c (Å): 5.7107 5.7107 5.7107
angles (deg): 90.00 90.00 90.00
Last column: nearest neighbours and their distance in Å.
Atoms (fractional coordinates):
Tl  0.0000  0.0000  0.0000  12 I 4.04
Se  0.5000  0.5000  0.5000  6 I 2.86
I  0.0000  0.5000  0.5000  2 Se 2.86
I  0.5000  0.0000  0.5000  2 Se 2.86
I  0.5000  0.5000  0.0000  2 Se 2.86

Values from the calculation:
- Crystal system: cubic
- Energy relative to the lowest polymorph listed for this composition: 0.000 eV per atom
- SG: Pm-3m, No. 221



2.
Below is a crystal of Tl5Se2I relaxed with PBEsol, with properties calculated at the meta-GGA SCAN level.

a b c (Å): 8.9895 8.9895 8.9895
angles (deg): 123.15 123.15 84.63
Last column: nearest neighbours and their distance in Å.
Atoms (fractional coordinates):
Tl  0.0000  0.0000  0.0000  4 Se 3.22, 2 I 3.32
Tl  0.0022  0.5022  0.7867  3 Se 3.03-3.21
Tl  0.2155  0.0022  0.5000  3 Se 3.03-3.21
Tl  0.2845  0.7845  0.7867  3 Se 3.03-3.21
Tl  0.4978  0.2845  0.5000  3 Se 3.03-3.21
Tl  0.5000  0.5000  0.0000  4 Se 3.22, 2 I 3.32
Tl  0.5022  0.7155  0.5000  3 Se 3.03-3.21
Tl  0.7155  0.2155  0.2133  3 Se 3.03-3.21
Tl  0.7845  0.9978  0.5000  3 Se 3.03-3.21
Tl  0.9978  0.4978  0.2133  3 Se 3.03-3.21
Se  0.1601  0.3399  0.5000  8 Tl 3.03-3.22
Se  0.3399  0.8399  0.1798  8 Tl 3.03-3.22
Se  0.6601  0.1601  0.8202  8 Tl 3.03-3.22
Se  0.8399  0.6601  0.5000  8 Tl 3.03-3.22
I  0.2500  0.2500  0.0000  10 Tl 3.32-3.59
I  0.7500  0.7500  0.0000  10 Tl 3.32-3.59

Values from the calculation:
- Crystal system: tetragonal
- SG: I4/mcm, No. 140



3.
Below is a crystal of WSeI2 relaxed with PBEsol, with properties calculated at the meta-GGA SCAN level.

a b c (Å): 7.2471 3.3790 9.2773
angles (deg): 90.00 93.75 90.00
Last column: nearest neighbours and their distance in Å.
Atoms (fractional coordinates):
W  0.0603  0.2500  0.1137  3 Se 2.50-2.52, 2 I 2.79, 2 W 2.80
W  0.9397  0.7500  0.8863  3 Se 2.50-2.52, 2 I 2.79, 2 W 2.80
Se  0.2626  0.7500  0.9994  3 W 2.50-2.52
Se  0.7374  0.2500  0.0006  3 W 2.50-2.52
I  0.0917  0.2500  0.6861  2 W 2.79
I  0.3672  0.2500  0.3227  1 W 2.85
I  0.6328  0.7500  0.6773  1 W 2.85
I  0.9083  0.7500  0.3139  2 W 2.79

Values from the calculation:
- Crystal system: monoclinic
- SG: P2_1/m, No. 11



4.
Below is a crystal of Y2SeI relaxed with PBEsol, with properties calculated at the meta-GGA SCAN level.

a b c (Å): 7.2143 7.2143 7.2143
angles (deg): 90.00 90.00 90.00
Last column: nearest neighbours and their distance in Å.
Atoms (fractional coordinates):
Y  0.2500  0.2500  0.2500  4 Se 3.12, 4 I 3.12
Y  0.2500  0.2500  0.7500  4 Se 3.12, 4 I 3.12
Y  0.2500  0.7500  0.2500  4 Se 3.12, 4 I 3.12
Y  0.2500  0.7500  0.7500  4 Se 3.12, 4 I 3.12
Y  0.7500  0.2500  0.2500  4 Se 3.12, 4 I 3.12
Y  0.7500  0.2500  0.7500  4 Se 3.12, 4 I 3.12
Y  0.7500  0.7500  0.2500  4 Se 3.12, 4 I 3.12
Y  0.7500  0.7500  0.7500  4 Se 3.12, 4 I 3.12
Se  0.0000  0.0000  0.0000  8 Y 3.12
Se  0.0000  0.5000  0.5000  8 Y 3.12
Se  0.5000  0.0000  0.5000  8 Y 3.12
Se  0.5000  0.5000  0.0000  8 Y 3.12
I  0.0000  0.0000  0.5000  8 Y 3.12
I  0.0000  0.5000  0.0000  8 Y 3.12
I  0.5000  0.0000  0.0000  8 Y 3.12
I  0.5000  0.5000  0.5000  8 Y 3.12

Values from the calculation:
- Crystal system: cubic
- SG: Fm-3m, No. 225



5.
Below is a crystal of ZnSe2I relaxed with PBEsol, with properties calculated at the meta-GGA SCAN level.

a b c (Å): 3.8276 3.8276 24.3271
angles (deg): 90.00 90.00 120.00
Last column: nearest neighbours and their distance in Å.
Atoms (fractional coordinates):
Zn  0.0000  0.0000  0.0000  6 Se 2.59
Zn  0.3333  0.6667  0.6667  6 Se 2.59
Zn  0.6667  0.3333  0.3333  6 Se 2.59
Se  0.0000  0.0000  0.3887  3 Zn 2.59, 1 I 2.71
Se  0.0000  0.0000  0.6113  3 Zn 2.59, 1 I 2.71
Se  0.3333  0.6667  0.0553  3 Zn 2.59, 1 I 2.71
Se  0.3333  0.6667  0.2780  3 Zn 2.59, 1 I 2.71
Se  0.6667  0.3333  0.7220  3 Zn 2.59, 1 I 2.71
Se  0.6667  0.3333  0.9447  3 Zn 2.59, 1 I 2.71
I  0.0000  0.0000  0.5000  2 Se 2.71
I  0.3333  0.6667  0.1667  2 Se 2.71
I  0.6667  0.3333  0.8333  2 Se 2.71

Values from the calculation:
- Crystal system: trigonal
- SG: R-3m, No. 166



6.
Below is a crystal of Zn3SeI relaxed with PBEsol, with properties calculated at the meta-GGA SCAN level.

a b c (Å): 5.0589 5.0589 5.0589
angles (deg): 90.00 90.00 90.00
Last column: nearest neighbours and their distance in Å.
Atoms (fractional coordinates):
Zn  0.0000  0.0000  0.5000  2 Se 2.53
Zn  0.0000  0.5000  0.0000  2 Se 2.53
Zn  0.5000  0.0000  0.0000  2 Se 2.53
Se  0.0000  0.0000  0.0000  6 Zn 2.53
I  0.5000  0.5000  0.5000  12 Zn 3.58

Values from the calculation:
- Crystal system: cubic
- SG: Pm-3m, No. 221



7.
Below is a crystal of ZrSe3I relaxed with PBEsol, with properties calculated at the meta-GGA SCAN level.

a b c (Å): 5.1671 5.1671 5.1671
angles (deg): 90.00 90.00 90.00
Last column: nearest neighbours and their distance in Å.
Atoms (fractional coordinates):
Zr  0.0000  0.0000  0.0000  6 Se 2.58
Se  0.0000  0.0000  0.5000  2 Zr 2.58
Se  0.0000  0.5000  0.0000  2 Zr 2.58
Se  0.5000  0.0000  0.0000  2 Zr 2.58
I  0.5000  0.5000  0.5000  12 Se 3.65

Values from the calculation:
- Crystal system: cubic
- SG: Pm-3m, No. 221



8.
Below is a crystal of SiI3 relaxed with PBEsol, with properties calculated at the meta-GGA SCAN level.

a b c (Å): 8.4798 8.4798 8.4798
angles (deg): 49.88 49.88 49.88
Last column: nearest neighbours and their distance in Å.
Atoms (fractional coordinates):
Si  0.0528  0.0528  0.0528  1 Si 2.35, 3 I 2.44
Si  0.9472  0.9472  0.9472  1 Si 2.35, 3 I 2.44
I  0.0968  0.4064  0.7547  1 Si 2.44
I  0.2453  0.9032  0.5936  1 Si 2.44
I  0.4064  0.7547  0.0968  1 Si 2.44
I  0.5936  0.2453  0.9032  1 Si 2.44
I  0.7547  0.0968  0.4064  1 Si 2.44
I  0.9032  0.5936  0.2453  1 Si 2.44

Values from the calculation:
- Crystal system: trigonal
- SG: R-3, No. 148



9.
Below is a crystal of SiI3 relaxed with PBEsol, with properties calculated at the meta-GGA SCAN level.

a b c (Å): 13.5881 12.3784 7.9012
angles (deg): 90.00 90.00 90.00
Last column: nearest neighbours and their distance in Å.
Atoms (fractional coordinates):
Si  0.1062  0.2500  0.2279  1 Si 2.34, 3 I 2.44
Si  0.1515  0.2500  0.9420  1 Si 2.34, 3 I 2.44-2.45
Si  0.3485  0.7500  0.4420  1 Si 2.34, 3 I 2.44-2.45
Si  0.3938  0.7500  0.7279  1 Si 2.34, 3 I 2.44
Si  0.6062  0.2500  0.2721  1 Si 2.34, 3 I 2.44
Si  0.6515  0.2500  0.5579  1 Si 2.34, 3 I 2.44-2.45
Si  0.8485  0.7500  0.0580  1 Si 2.34, 3 I 2.44-2.45
Si  0.8938  0.7500  0.7721  1 Si 2.34, 3 I 2.44
I  0.0008  0.7500  0.2242  1 Si 2.45
I  0.0100  0.0862  0.2772  1 Si 2.44
I  0.0100  0.4138  0.2772  1 Si 2.44
I  0.2451  0.7500  0.9015  1 Si 2.44
I  0.2484  0.0874  0.8868  1 Si 2.44
I  0.2484  0.4126  0.8868  1 Si 2.44
I  0.2516  0.5874  0.3868  1 Si 2.44
I  0.2516  0.9126  0.3868  1 Si 2.44
I  0.2549  0.2500  0.4015  1 Si 2.44
I  0.4900  0.5862  0.7772  1 Si 2.44
I  0.4900  0.9138  0.7772  1 Si 2.44
I  0.4992  0.2500  0.7242  1 Si 2.45
I  0.5008  0.7500  0.2758  1 Si 2.45
I  0.5100  0.0862  0.2228  1 Si 2.44
I  0.5100  0.4138  0.2228  1 Si 2.44
I  0.7451  0.7500  0.5985  1 Si 2.44
I  0.7484  0.0874  0.6132  1 Si 2.44
I  0.7484  0.4126  0.6132  1 Si 2.44
I  0.7516  0.5874  0.1132  1 Si 2.44
I  0.7516  0.9126  0.1132  1 Si 2.44
I  0.7549  0.2500  0.0985  1 Si 2.44
I  0.9900  0.5862  0.7228  1 Si 2.44
I  0.9900  0.9138  0.7228  1 Si 2.44
I  0.9992  0.2500  0.7758  1 Si 2.45

Values from the calculation:
- Crystal system: orthorhombic
- SG: Pnma, No. 62



10.
Below is a crystal of SiSnTe2I relaxed with PBEsol, with properties calculated at the meta-GGA SCAN level.

a b c (Å): 5.2917 5.2917 5.3448
angles (deg): 90.00 90.00 90.00
Last column: nearest neighbours and their distance in Å.
Atoms (fractional coordinates):
Si  0.0000  0.0000  0.0000  4 Te 2.65, 2 I 2.67
Sn  0.5000  0.5000  0.5000  4 I 3.74, 8 Te 3.76
Te  0.0000  0.5000  0.0000  2 Si 2.65
Te  0.5000  0.0000  0.0000  2 Si 2.65
I  0.0000  0.0000  0.5000  2 Si 2.67

Values from the calculation:
- Crystal system: tetragonal
- SG: P4/mmm, No. 123



11.
Below is a crystal of SrSi3I relaxed with PBEsol, with properties calculated at the meta-GGA SCAN level.

a b c (Å): 5.2792 5.2792 5.2792
angles (deg): 90.00 90.00 90.00
Last column: nearest neighbours and their distance in Å.
Atoms (fractional coordinates):
Sr  0.0000  0.0000  0.0000  12 Si 3.73
Si  0.0000  0.5000  0.5000  2 I 2.64
Si  0.5000  0.0000  0.5000  2 I 2.64
Si  0.5000  0.5000  0.0000  2 I 2.64
I  0.5000  0.5000  0.5000  6 Si 2.64

Values from the calculation:
- Crystal system: cubic
- SG: Pm-3m, No. 221



12.
Below is a crystal of SrSiTeI2 relaxed with PBEsol, with properties calculated at the meta-GGA SCAN level.

a b c (Å): 5.4421 5.4421 5.6092
angles (deg): 90.00 90.00 90.00
Last column: nearest neighbours and their distance in Å.
Atoms (fractional coordinates):
Sr  0.0000  0.0000  0.0000  4 Te 3.85, 8 I 3.91
Si  0.5000  0.5000  0.5000  4 I 2.72, 2 Te 2.80
Te  0.5000  0.5000  0.0000  2 Si 2.80
I  0.0000  0.5000  0.5000  2 Si 2.72
I  0.5000  0.0000  0.5000  2 Si 2.72

Values from the calculation:
- Crystal system: tetragonal
- SG: P4/mmm, No. 123



no.,E_form (uncorrected) (eV/f.u.)
1,-0.9
2,-3.7
3,-0.8
4,-4.6
5,-0.6
6,1.0
7,-1.8
8,-1.4
9,-1.4
10,1.7
11,5.4
12,-2.9